DFT (PBE+U) results for an optimized crystal structure of SrCoO2F.

Cell lengths 4.596, 4.596, 4.464 Å; angles 90.00, 90.00, 90.00 degrees
Positions (direct):
Co (0.500, 0.500, 0.500)
O (0.000, 0.500, 0.000)
O (0.500, 0.000, 0.000)
F (0.000, 0.000, 0.500)
Sr (0.000, 0.000, 0.000)

Properties
Crystal system: tetragonal
Density of states at the Fermi level, states/eV/atom: 0.257
VASP energy, Ry per atom: -0.322
Space group: No. 123